(1)
U2FeSn | the Alexandria database | PBE | optimized geometry; formation enthalpy at 0 K = 10 meV/atom; offset from the most stable computed form = 0.000 eV per atom; magnetization = 0.66 μB per atom
1.0
3.083 0.000 0.000
0.000 3.083 0.000
0.000 0.000 8.512
U Sn Fe
2 1 1
Cartesian
0.000 0.000 6.770
0.000 0.000 1.743
1.542 1.542 4.256
1.542 1.542 0.000

(2)
UFe2Sn | the Alexandria database | PBE | optimized geometry; formation enthalpy at 0 K = 41 meV/atom; magnetization = 0.12 μB per atom
1.0
-0.820 -1.169 2.876
1.161 -4.163 -1.360
4.223 0.693 1.486
U Sn Fe
1 1 2
Cartesian
2.282 -2.319 1.501
-0.410 -0.584 1.438
2.112 0.346 0.743
0.581 -2.081 -0.680

(3)
U2Fe2Sn | the Alexandria database | PBE | optimized geometry; formation enthalpy at 0 K = -154 meV/atom; magnetization = 0.00 μB per atom
1.0
7.276 0.000 0.000
0.000 7.276 0.000
0.000 0.000 3.360
U Fe Sn
4 4 2
Cartesian
6.077 2.439 1.680
4.837 6.077 1.680
2.439 1.199 1.680
1.199 4.837 1.680
0.982 2.656 0.000
2.656 6.294 0.000
4.620 0.982 0.000
6.294 4.620 0.000
0.000 0.000 0.000
3.638 3.638 0.000

(4)
VFe2Sn2 | the Alexandria database | PBE | optimized geometry; formation enthalpy at 0 K = 238 meV/atom; magnetization = 0.04 μB per atom
1.0
6.258 0.000 0.000
0.000 6.258 0.000
0.000 0.000 3.973
Fe Sn V
4 4 2
Cartesian
2.304 5.433 0.000
5.433 3.954 0.000
3.954 0.825 0.000
0.825 2.304 0.000
1.099 4.228 1.986
4.228 5.158 1.986
5.158 2.029 1.986
2.029 1.099 1.986
0.000 0.000 0.000
3.129 3.129 0.000